# 1
The following is a DFT calculation (GGA-PBE) of a geometry-optimized RbAcVN3 structure.

Raw total energy ... -6.9855 eV/atom
Formation energy without anion corrections ... -0.457 eV/atom
Calculated volume ... 228.3 Å³/cell
M_tot ... 2.07 μB/cell

Structure (extended XYZ):
```
12
Lattice="3.943 0.000 0.000 -1.972 7.171 -0.050 0.000 -2.230 8.089" Properties=species:S:1:pos:R:3 pbc="T T T"
N 0.000 0.003 6.301
N 1.972 -0.567 2.663
N 1.972 4.938 1.738
N 1.972 3.630 5.074
N 0.000 5.508 5.376
N 0.000 1.311 2.964
Ac 0.000 4.000 3.255
Ac 1.972 0.942 4.783
V 1.972 5.522 5.461
V 0.000 -0.580 2.578
Rb 0.000 3.148 7.538
Rb 1.972 1.793 0.500
```



# 2
The following is a DFT calculation (GGA-PBE) of a geometry-optimized RbAcWN3 structure.

Raw total energy ... -7.6732 eV/atom
Formation energy without anion corrections ... -0.506 eV/atom
Calculated volume ... 238.9 Å³/cell
M_tot ... 0.00 μB/cell

Structure (extended XYZ):
```
12
Lattice="4.007 0.000 0.000 -2.003 7.319 0.008 0.000 -2.248 8.145" Properties=species:S:1:pos:R:3 pbc="T T T"
Rb 0.000 3.251 7.627
Rb 2.003 1.821 0.526
N 0.000 0.010 6.396
N 2.003 5.062 1.757
N 0.000 5.666 5.299
N 2.003 3.694 5.209
N 0.000 1.377 2.944
N 2.003 -0.594 2.854
W 2.003 5.658 5.442
W 0.000 -0.586 2.710
Ac 2.003 1.044 4.934
Ac 0.000 4.028 3.219
```



# 3
The following is a DFT calculation (GGA-PBE) of a geometry-optimized RbAc2W2N6 structure.

Raw total energy ... -8.3194 eV/atom
Formation energy without anion corrections ... -0.588 eV/atom
Calculated volume ... 252.6 Å³/cell
M_tot ... 1.06 μB/cell

Structure (extended XYZ):
```
11
Lattice="7.040 -0.385 0.121 3.184 5.753 -0.093 0.316 -3.458 6.144" Properties=species:S:1:pos:R:3 pbc="T T T"
W 6.584 0.330 1.202
W 3.955 1.580 4.970
Ac 7.234 -0.818 4.896
Ac 3.305 2.728 1.276
N 7.922 1.593 1.293
N 4.142 2.879 3.642
N 6.397 -0.969 2.530
N 2.616 0.317 4.879
N 5.405 0.766 5.771
N 5.134 1.144 0.401
Rb 3.678 -1.921 3.132
```



calculated volume of number 1 (RbAcVN3)?
228.3 Å³/cell